CsNaCoF6: relaxed, GGA+U.

Cell and atoms, written as CIF:
```
data_CsNaCoF6
_cell_length_a 5.6543
_cell_length_b 5.6987
_cell_length_c 6.1738
_cell_angle_alpha 89.80
_cell_angle_beta 89.59
_cell_angle_gamma 60.27
_space_group_name_H-M_alt 'P 1'
_space_group_IT_number 1
_space_group_name_Hall 'P 1'
loop_
_atom_site_label
_atom_site_type_symbol
_atom_site_fract_x
_atom_site_fract_y
_atom_site_fract_z
Cs1 Cs 0.0000 0.0000 0.0000
Na1 Na 0.3347 0.3306 0.5000
Co1 Co 0.6670 0.6663 0.5006
F1 F 0.4062 0.6575 0.6678
F2 F 0.4105 0.9309 0.3322
F3 F 0.6574 0.9318 0.6688
F4 F 0.6606 0.4088 0.3323
F5 F 0.9314 0.4098 0.6692
F6 F 0.9360 0.6586 0.3334
```

M_tot in Bohr magnetons per cell: 1.00
E in eV/atom: -4.292